Entry from the Alexandria database: an optimized crystal structure of Tm3Hg5O12 (GGA-PBE).

```
Tm3Hg5O12
1.0
-6.6248 6.6248 6.6248
6.6248 -6.6248 6.6248
6.6248 6.6248 -6.6248
Tm Hg O
12 20 48
direct
0.1250 0.2500 0.3750 Tm
0.1250 0.3750 0.7500 Tm
0.2500 0.3750 0.1250 Tm
0.2500 0.8750 0.6250 Tm
0.3750 0.1250 0.2500 Tm
0.3750 0.7500 0.1250 Tm
0.6250 0.2500 0.8750 Tm
0.6250 0.8750 0.7500 Tm
0.7500 0.1250 0.3750 Tm
0.7500 0.6250 0.8750 Tm
0.8750 0.6250 0.2500 Tm
0.8750 0.7500 0.6250 Tm
0.0000 0.0000 0.0000 Hg
0.0000 0.0000 0.5000 Hg
0.0000 0.5000 0.0000 Hg
0.0000 0.5000 0.5000 Hg
0.1250 0.7500 0.8750 Hg
0.1250 0.8750 0.2500 Hg
0.2500 0.1250 0.8750 Hg
0.2500 0.6250 0.3750 Hg
0.3750 0.2500 0.6250 Hg
0.3750 0.6250 0.7500 Hg
0.5000 0.0000 0.0000 Hg
0.5000 0.0000 0.5000 Hg
0.5000 0.5000 0.0000 Hg
0.5000 0.5000 0.5000 Hg
0.6250 0.3750 0.2500 Hg
0.6250 0.7500 0.3750 Hg
0.7500 0.3750 0.6250 Hg
0.7500 0.8750 0.1250 Hg
0.8750 0.1250 0.7500 Hg
0.8750 0.2500 0.1250 Hg
0.0619 0.2265 0.1447 O
0.0619 0.3354 0.9172 O
0.0818 0.7265 0.6646 O
0.0818 0.8553 0.4172 O
0.0828 0.6447 0.4182 O
0.0828 0.9381 0.6646 O
0.1447 0.0619 0.2265 O
0.1447 0.5828 0.9182 O
0.1646 0.2265 0.5818 O
0.1646 0.4381 0.5828 O
0.2265 0.1447 0.0619 O
0.2265 0.5818 0.1646 O
0.2735 0.3354 0.9182 O
0.2735 0.4381 0.3553 O
0.3354 0.9172 0.0619 O
0.3354 0.9182 0.2735 O
0.3553 0.2735 0.4381 O
0.3553 0.5818 0.9172 O
0.4172 0.0818 0.8553 O
0.4172 0.8354 0.5619 O
0.4182 0.0828 0.6447 O
0.4182 0.8354 0.7735 O
0.4381 0.3553 0.2735 O
0.4381 0.5828 0.1646 O
0.5619 0.4172 0.8354 O
0.5619 0.6447 0.7265 O
0.5818 0.1646 0.2265 O
0.5818 0.9172 0.3553 O
0.5828 0.1646 0.4381 O
0.5828 0.9182 0.1447 O
0.6447 0.4182 0.0828 O
0.6447 0.7265 0.5619 O
0.6646 0.0818 0.7265 O
0.6646 0.0828 0.9381 O
0.7265 0.5619 0.6447 O
0.7265 0.6646 0.0818 O
0.7735 0.4182 0.8354 O
0.7735 0.8553 0.9381 O
0.8354 0.5619 0.4172 O
0.8354 0.7735 0.4182 O
0.8553 0.4172 0.0818 O
0.8553 0.9381 0.7735 O
0.9172 0.0619 0.3354 O
0.9172 0.3553 0.5818 O
0.9182 0.1447 0.5828 O
0.9182 0.2735 0.3354 O
0.9381 0.6646 0.0828 O
0.9381 0.7735 0.8553 O
```

Values from the calculation:
Crystal system: cubic
Space-group type: Ia-3d, No. 230
Formation energy from raw total energies, meV per atom: -1228
Fermi-level density of states, states/eV per cell: 31.89